No. 1
# GaCu2Rh

GaCu2Rh after structural relaxation (GGA-PBE, Alexandria).

```
8
Lattice="3.5343 0.0000 0.0000 0.0000 3.5343 0.0000 1.7672 1.7672 9.2070" Properties=species:S:1:pos:R:3 pbc="T T T"
Rh 0.0000 0.0000 0.0000
Cu 4.4179 4.4159 6.9052
Cu 2.6487 0.8836 2.3017
Cu 0.8856 2.6507 2.3017
Ga 1.7672 1.7672 0.0000
Ga 1.7672 3.5343 4.6035
Rh 3.5343 1.7672 4.6035
Cu 2.6507 2.6527 6.9052
```

SG = I-42d, No. 122
magnetic moment = 0.00 μB/cell
crystal system = tetragonal
volume = 115.01 Å³ per cell

---

No. 2
# Ga6CuRh

Ga6CuRh after structural relaxation (GGA-PBE, Alexandria).

```
8
Lattice="-5.6196 -0.2892 2.9219 2.4333 -0.3340 -5.8454 3.6832 -4.6804 3.4070" Properties=species:S:1:pos:R:3 pbc="T T T"
Cu 0.0000 0.0000 0.0000
Rh 0.2485 -2.6518 0.2418
Ga 1.9876 -3.6601 1.8443
Ga -0.8844 -3.9083 2.2879
Ga 1.3813 -1.3953 -1.8043
Ga 2.1847 -3.9254 -1.0535
Ga -1.6878 -1.3782 1.5371
Ga -1.4906 -1.6435 -1.3608
```

SG = C2/m, No. 12
magnetic moment = 0.00 μB/cell
crystal system = monoclinic
volume = 139.08 Å³ per cell

---

No. 3
# Ga2CuRh

Ga2CuRh after structural relaxation (GGA-PBE, Alexandria).

```
4
Lattice="3.4885 0.0000 -1.1558 -0.4330 3.3744 -1.3069 -0.3123 -0.1089 4.8998" Properties=species:S:1:pos:R:3 pbc="T T T"
Ga 0.0003 0.0007 0.0009
Ga 2.3507 0.7881 1.2527
Rh 0.3914 2.4773 1.1812
Cu 1.5285 1.6866 -1.2290
```

SG = Imm2, No. 44
ΔE to the lowest computed polymorph = 0.000 eV/atom
magnetic moment = 0.00 μB/cell
crystal system = orthorhombic
volume = 55.91 Å³ per cell

---

No. 4
# Ga4Cu2Rh

Ga4Cu2Rh after structural relaxation (GGA-PBE, Alexandria).

```
14
Lattice="-1.5674 5.7203 2.3590 -5.3440 -2.7443 2.1588 6.2462 -1.9535 2.3164" Properties=species:S:1:pos:R:3 pbc="T T T"
Ga -1.7134 3.8007 2.4879
Rh -0.2211 -2.0591 2.6764
Ga 1.7866 -3.0975 3.8616
Cu 1.9311 1.7140 4.1056
Cu -4.4448 0.1027 3.9387
Ga 3.5966 0.3504 2.7068
Ga -2.1838 -0.2217 2.7684
Ga -2.2181 0.9826 5.1387
Cu 0.8310 3.9504 4.1367
Rh 5.2078 -1.5071 2.9945
Ga 0.4467 -0.4564 4.6007
Cu -0.5842 1.7280 3.4387
Ga 1.0220 0.2677 2.0415
Ga -4.0455 2.7417 4.1519
```

SG = C2, No. 5
ΔE to the lowest computed polymorph = 0.000 eV/atom
magnetic moment = 0.00 μB/cell
crystal system = monoclinic
volume = 216.36 Å³ per cell

---

No. 5
# Ga4Cu2Rh

Ga4Cu2Rh after structural relaxation (GGA-PBE, Alexandria).

```
7
Lattice="-0.0561 2.7556 -3.8641 -3.0182 -3.0030 -2.0977 -6.2093 2.9791 -0.7004" Properties=species:S:1:pos:R:3 pbc="T T T"
Ga -1.5091 -1.5015 -1.0489
Cu -6.7947 2.2233 -4.1459
Ga -4.9570 1.0029 -5.0429
Ga -4.3266 1.7288 -1.6194
Rh 0.0000 0.0000 0.0000
Cu -2.4890 0.5084 -2.5164
Ga -0.0280 1.3778 -1.9321
```

SG = I4/mmm, No. 139
ΔE to the lowest computed polymorph = 0.237 eV/atom
magnetic moment = 0.00 μB/cell
crystal system = tetragonal
volume = 136.40 Å³ per cell

---

No. 6
# Ga2CuRh

Ga2CuRh after structural relaxation (GGA-PBE, Alexandria).

```
8
Lattice="6.7664 0.0000 0.0000 0.0000 6.7664 0.0000 3.3832 3.3832 2.6979" Properties=species:S:1:pos:R:3 pbc="T T T"
Ga 5.0281 1.6916 0.6745
Ga 5.0748 5.1215 2.0234
Rh 0.0000 0.0000 0.0000
Ga 1.7383 5.0748 0.6745
Rh 6.7664 3.3832 1.3489
Cu 3.3832 3.3832 0.0000
Ga 8.4580 8.4113 2.0234
Cu 3.3832 6.7664 1.3489
```

SG = I-42d, No. 122
ΔE to the lowest computed polymorph = 0.345 eV/atom
magnetic moment = 0.00 μB/cell
crystal system = tetragonal
volume = 123.52 Å³ per cell

---

No. 7
# GaCu3Rh

GaCu3Rh after structural relaxation (GGA-PBE, Alexandria).

```
5
Lattice="4.6567 0.0000 0.0000 0.0000 4.6567 0.0000 0.0000 0.0000 4.6567" Properties=species:S:1:pos:R:3 pbc="T T T"
Cu 2.3283 0.0000 0.0000
Cu 0.0000 0.0000 2.3283
Cu 0.0000 2.3283 0.0000
Ga 2.3283 2.3283 2.3283
Rh 0.0000 0.0000 0.0000
```

SG = Pm-3m, No. 221
ΔE to the lowest computed polymorph = 0.105 eV/atom
magnetic moment = 0.00 μB/cell
crystal system = cubic
volume = 100.98 Å³ per cell

---

No. 8
# GaCu2Rh2

GaCu2Rh2 after structural relaxation (GGA-PBE, Alexandria).

```
10
Lattice="6.3876 0.0000 0.0000 0.0000 6.3876 0.0000 0.0000 0.0000 3.6200" Properties=species:S:1:pos:R:3 pbc="T T T"
Rh 4.1155 0.9217 0.0000
Cu 0.9805 4.1743 1.8100
Ga 3.1938 3.1938 0.0000
Rh 2.2721 5.4659 0.0000
Rh 5.4659 4.1155 0.0000
Ga 0.0000 0.0000 0.0000
Cu 5.4070 2.2132 1.8100
Cu 4.1743 5.4070 1.8100
Rh 0.9217 2.2721 0.0000
Cu 2.2132 0.9805 1.8100
```

SG = P4/mbm, No. 127
ΔE to the lowest computed polymorph = 0.000 eV/atom
magnetic moment = 0.00 μB/cell
crystal system = tetragonal
volume = 147.70 Å³ per cell

---

| no. | electronic total energy (eV per cell) | formation energy from the elements (eV/atom) |
| --- | --- | --- |
| 1 | -37.27 | -0.016 |
| 2 | -31.23 | -0.203 |
| 3 | -19.05 | -0.387 |
| 4 | -57.99 | -0.192 |
| 5 | -27.34 | 0.045 |
| 6 | -35.34 | -0.043 |
| 7 | -18.06 | 0.922 |
| 8 | -52.16 | -0.031 |